AlSbSe2Br: optimized geometry, PBE-GGA.

Structure (POSCAR):
```
AlSbSe2Br
1.0
5.0222 0.0000 0.0000
0.0000 5.0222 0.0000
0.0000 0.0000 4.8429
Al Sb Se Br
1 1 2 1
Cartesian
0.0000 0.0000 0.0000 Al
2.5111 2.5111 2.4214 Sb
0.0000 2.5111 0.0000 Se
2.5111 0.0000 0.0000 Se
0.0000 0.0000 2.4214 Br
```

Summary:
For the uncorrected formation energy, the calculation gives -0.082 eV per atom. The density is 5.3 g/cm3. The value obtained for the total energy is -0.1243 Ha/atom. As for the energy above the most stable polymorph in this dataset: 0.000 eV per atom.